Record 1
A geometry-optimized NaCoSnF6 structure, computed with PBE+U.

a b c (Å): 5.4655 5.4655 4.9652
angles (deg): 90.00 90.00 120.00
Fractional coordinates of all 9 atoms:
Na (0.0000, 0.0000, 0.0000)
Co (0.3333, 0.6667, 0.0000)
Sn (0.6667, 0.3333, 0.5000)
F (0.0482, 0.3857, 0.2178)
F (0.0482, 0.6624, 0.7822)
F (0.3376, 0.3857, 0.7822)
F (0.3376, 0.9518, 0.2178)
F (0.6143, 0.6624, 0.2178)
F (0.6143, 0.9518, 0.7822)

Results
The total DFT energy (no corrections) comes out at -41.5 eV/cell.


Record 2
A geometry-optimized NaSr2CoF8 structure, computed with PBE+U.

a b c (Å): 4.9023 5.2560 7.2207
angles (deg): 89.13 81.01 84.20
Fractional coordinates of all 12 atoms:
Na (0.0000, 0.0000, 0.0000)
Sr (0.3638, 0.4915, 0.2706)
Sr (0.6362, 0.5085, 0.7294)
Co (0.0000, 0.0000, 0.5000)
F (0.1331, 0.2779, 0.6048)
F (0.2093, 0.0540, 0.2636)
F (0.2602, 0.6403, 0.9723)
F (0.2932, 0.7733, 0.5571)
F (0.7068, 0.2267, 0.4429)
F (0.7398, 0.3597, 0.0277)
F (0.7907, 0.9460, 0.7364)
F (0.8669, 0.7221, 0.3952)

Results
The total DFT energy (no corrections) comes out at -60.8 eV/cell.


Record 3
A geometry-optimized NaSrCoF6 structure, computed with PBE+U.

a b c (Å): 5.8391 5.8391 8.6906
angles (deg): 90.00 90.00 120.00
Fractional coordinates of all 18 atoms:
Na (0.0000, 0.0000, 0.0000)
Na (0.0000, 0.0000, 0.5000)
Sr (0.3333, 0.6667, 0.2500)
Sr (0.6667, 0.3333, 0.7500)
Co (0.3333, 0.6667, 0.7500)
Co (0.6667, 0.3333, 0.2500)
F (0.0723, 0.3953, 0.6292)
F (0.0723, 0.6770, 0.8708)
F (0.3230, 0.3953, 0.8708)
F (0.3230, 0.9277, 0.6292)
F (0.3953, 0.0723, 0.1292)
F (0.3953, 0.3230, 0.3708)
F (0.6047, 0.6770, 0.6292)
F (0.6047, 0.9277, 0.8708)
F (0.6770, 0.0723, 0.3708)
F (0.6770, 0.6047, 0.1292)
F (0.9277, 0.3230, 0.1292)
F (0.9277, 0.6047, 0.3708)

Results
The total DFT energy (no corrections) comes out at -87.8 eV/cell.


Record 4
A geometry-optimized Na2SrCoF6 structure, computed with PBE+U.

a b c (Å): 5.7492 6.0396 10.0773
angles (deg): 90.00 124.25 90.00
Fractional coordinates of all 20 atoms:
Na (0.2292, 0.0446, 0.2319)
Na (0.2292, 0.4554, 0.7319)
Na (0.7708, 0.5446, 0.2681)
Na (0.7708, 0.9554, 0.7681)
Sr (0.0000, 0.0000, 0.5000)
Sr (0.0000, 0.5000, 0.0000)
Co (0.5000, 0.0000, 0.0000)
Co (0.5000, 0.5000, 0.5000)
F (0.1498, 0.1593, 0.9531)
F (0.1498, 0.3407, 0.4531)
F (0.2541, 0.7101, 0.9134)
F (0.2541, 0.7899, 0.4134)
F (0.3985, 0.0891, 0.7723)
F (0.3985, 0.4109, 0.2723)
F (0.6015, 0.5891, 0.7277)
F (0.6015, 0.9109, 0.2277)
F (0.7459, 0.2101, 0.5866)
F (0.7459, 0.2899, 0.0866)
F (0.8502, 0.6593, 0.5469)
F (0.8502, 0.8407, 0.0469)

Results
The total DFT energy (no corrections) comes out at -98.8 eV/cell.


Record 5
A geometry-optimized Na2TbCo3F12 structure, computed with PBE+U.

a b c (Å): 6.8050 6.8050 6.8050
angles (deg): 66.47 66.47 66.47
Fractional coordinates of all 18 atoms:
Na (0.1408, 0.1408, 0.1408)
Na (0.8592, 0.8592, 0.8592)
Tb (0.5000, 0.5000, 0.5000)
Co (0.0000, 0.5000, 0.5000)
Co (0.5000, 0.0000, 0.5000)
Co (0.5000, 0.5000, 0.0000)
F (0.0969, 0.6386, 0.6386)
F (0.2408, 0.2408, 0.6073)
F (0.2408, 0.6073, 0.2408)
F (0.3614, 0.3614, 0.9031)
F (0.3614, 0.9031, 0.3614)
F (0.3927, 0.7592, 0.7592)
F (0.6073, 0.2408, 0.2408)
F (0.6386, 0.0969, 0.6386)
F (0.6386, 0.6386, 0.0969)
F (0.7592, 0.3927, 0.7592)
F (0.7592, 0.7592, 0.3927)
F (0.9031, 0.3614, 0.3614)

Results
The total DFT energy (no corrections) comes out at -91.8 eV/cell.


Record 6
A geometry-optimized NaTbCoF6 structure, computed with PBE+U.

a b c (Å): 5.6836 5.6836 9.5807
angles (deg): 90.00 90.00 120.00
Fractional coordinates of all 18 atoms:
Na (0.0000, 0.0000, 0.0000)
Na (0.0000, 0.0000, 0.5000)
Tb (0.3333, 0.6667, 0.2500)
Tb (0.6667, 0.3333, 0.7500)
Co (0.3333, 0.6667, 0.7500)
Co (0.6667, 0.3333, 0.2500)
F (0.0191, 0.3624, 0.6357)
F (0.0191, 0.6567, 0.8643)
F (0.3433, 0.3624, 0.8643)
F (0.3433, 0.9809, 0.6357)
F (0.3624, 0.0191, 0.1357)
F (0.3624, 0.3433, 0.3643)
F (0.6376, 0.6567, 0.6357)
F (0.6376, 0.9809, 0.8643)
F (0.6567, 0.0191, 0.3643)
F (0.6567, 0.6376, 0.1357)
F (0.9809, 0.3433, 0.1357)
F (0.9809, 0.6376, 0.3643)

Results
The total DFT energy (no corrections) comes out at -100.7 eV/cell.


Record 7
A geometry-optimized NaCoTcF6 structure, computed with PBE+U.

a b c (Å): 5.4209 5.4209 9.7983
angles (deg): 90.00 90.00 120.00
Fractional coordinates of all 18 atoms:
Na (0.0000, 0.0000, 0.0000)
Na (0.0000, 0.0000, 0.5000)
Co (0.3333, 0.6667, 0.2500)
Co (0.6667, 0.3333, 0.7500)
Tc (0.3333, 0.6667, 0.7500)
Tc (0.6667, 0.3333, 0.2500)
F (0.0046, 0.3538, 0.6398)
F (0.0046, 0.6507, 0.8602)
F (0.3493, 0.3538, 0.8602)
F (0.3493, 0.9954, 0.6398)
F (0.3538, 0.0046, 0.1398)
F (0.3538, 0.3493, 0.3602)
F (0.6462, 0.6507, 0.6398)
F (0.6462, 0.9954, 0.8602)
F (0.6507, 0.0046, 0.3602)
F (0.6507, 0.6462, 0.1398)
F (0.9954, 0.3493, 0.1398)
F (0.9954, 0.6462, 0.3602)

Results
The total DFT energy (no corrections) comes out at -94.3 eV/cell.


Record 8
A geometry-optimized NaCo2TcF structure, computed with PBE+U.

a b c (Å): 4.3351 4.3351 4.4187
angles (deg): 90.00 90.00 90.00
Fractional coordinates of all 5 atoms:
Na (0.0000, 0.0000, 0.0000)
Co (0.0000, 0.5000, 0.5000)
Co (0.5000, 0.0000, 0.5000)
Tc (0.5000, 0.5000, 0.0000)
F (0.5000, 0.5000, 0.5000)

Results
The total DFT energy (no corrections) comes out at -20.2 eV/cell.